! KVPb2F (PBE with a Hubbard U, optimized geometry); values from VASP
&SYSTEM
  ibrav = 0, nat = 5, ntyp = 4
/
ATOMIC_SPECIES
Pb 207.20 Pb.upf
K 39.10 K.upf
F 19.00 F.upf
V 50.94 V.upf
CELL_PARAMETERS angstrom
5.160 0.000 0.000
0.000 7.600 0.000
0.000 0.000 5.160
ATOMIC_POSITIONS crystal
Pb 0.000 0.000 0.500
Pb 0.500 0.000 0.000
K 0.000 0.500 0.000
F 0.500 0.500 0.500
V 0.000 0.000 0.000
! **V**: 40.5 Å³ per atom
! **Total DFT energy (no corrections)**: -16.09 eV/cell
! **D(E_F)**: 0.9794 states/eV per atom